# 1
KCaF3: relaxed, PBE.

Cell lengths 4.476, 6.330, 6.332 Å; angles 90.00, 90.00, 90.00 degrees
Space group Amm2 (No. 38)
Inequivalent atoms, fractional coordinates:
K1 0.000 0.000 0.000
Ca1 0.500 0.000 0.502
F1 0.000 0.000 0.502
F2 0.500 0.249 0.753

Results
Fermi-level density of states in states/eV per atom: 0.000
Electronic total energy in eV per atom: -5.194


# 2
HRu2PtW: relaxed, PBE.

Cell lengths 3.932, 3.932, 3.946 Å; angles 90.00, 90.00, 90.00 degrees
Space group P4/mmm (No. 123)
Inequivalent atoms, fractional coordinates:
H1 0.000 0.000 0.000
Ru1 0.000 0.500 0.000
Pt1 0.500 0.500 0.500
W1 0.000 0.000 0.500

Results
Energy above the most stable polymorph in this dataset in meV per atom: 0
Fermi-level density of states in states/eV per atom: 0.485